Here is an optimized crystal structure of Ag2PN from Alexandria. Energies are from PBE.

Cell lengths 4.334, 4.334, 4.334 Å; angles 60.00, 60.00, 60.00 degrees
Positions (direct):
Ag1 0.250 0.250 0.250
Ag2 0.750 0.750 0.750
P1 0.000 0.000 0.000
N1 0.500 0.500 0.500

Properties
The crystal system is cubic. The value obtained for the raw total energy is -3.689 eV per atom. The space group is Fm-3m. The formation energy without anion corrections comes out at 1.170 eV/atom. The value obtained for the theoretical density is 7.5 g/cm³. For the density of states at the Fermi level, the calculation gives 0.560 states/eV/atom. The calculation puts the distance to the lowest polymorph of the same formula at 46 meV per atom.